Computed, not measured: crystalline YAgW2O8 at its relaxed geometry at the GGA+U level of DFT.

Computed properties:
- DOS at the Fermi energy: 0.00 states/eV/f.u.
- DFT total energy: -7.3977 eV per atom
- Energy above the lowest structure with this stoichiometry: 0.007 eV/atom
- Space-group type: P2/c, No. 13
- Spin magnetization: 0.000 μB per atom

Unit cell a=5.2366 b=6.0381 c=11.4595 alpha=90.00 beta=115.54 gamma=90.00
Last column: nearest neighbours and their distance in Å.
Positions (direct):
Y: 0.0000 0.1744 0.2500  6 O 2.27-2.34
Y: 0.0000 0.8256 0.7500  6 O 2.27-2.34
Ag: 0.5000 0.1852 0.7500  6 O 2.32-2.55
Ag: 0.5000 0.8148 0.2500  6 O 2.32-2.55
W: 0.2421 0.3348 0.9960  4 O 1.83-2.01
W: 0.2421 0.6652 0.4960  4 O 1.83-2.01
W: 0.7579 0.3348 0.5040  4 O 1.83-2.01
W: 0.7579 0.6652 0.0040  4 O 1.83-2.01
O: 0.1495 0.4090 0.6026  1 W 1.92
O: 0.1495 0.5910 0.1026  1 W 1.92
O: 0.2312 0.1521 0.1221  1 W 1.84
O: 0.2312 0.8479 0.6221  1 W 1.84
O: 0.2422 0.1251 0.8805  1 W 1.83
O: 0.2422 0.8749 0.3805  1 W 1.83
O: 0.3409 0.3940 0.4041  2 W 2.01-2.13
O: 0.3409 0.6060 0.9041  2 W 2.01-2.13
O: 0.6591 0.3940 0.0959  2 W 2.01-2.13
O: 0.6591 0.6060 0.5959  2 W 2.01-2.13
O: 0.7578 0.1251 0.6195  1 W 1.83
O: 0.7578 0.8749 0.1195  1 W 1.83
O: 0.7688 0.1521 0.3779  1 W 1.84
O: 0.7688 0.8479 0.8779  1 W 1.84
O: 0.8505 0.4090 0.8974  1 W 1.92
O: 0.8505 0.5910 0.3974  1 W 1.92